[1]
6
Lattice="-2.1835 3.0622 6.5387 2.1835 -3.0622 6.5387 2.1835 3.0622 -6.5387" Properties=species:S:1:pos:R:3 comment="AgGeBiTe3 | Alexandria via LeMat-Bulk | PBE | relaxed" polymorph_energy_mev_per_atom=0 n_ef_per_ev_cell=0.37 sg="No. 44" magnetic_moment_mub_per_cell=0.000 pbc="T T T"
Ag 0.0000 0.0000 0.0000
Ge 0.0000 0.0000 4.2383
Bi 0.0000 0.0000 8.6725
Te 2.1835 0.0000 2.1418
Te 2.1835 0.0000 6.3364
Te 0.0000 3.0622 4.3766



[2]
12
Lattice="5.7115 0.0000 0.0000 0.0000 6.0113 0.0000 -2.0891 0.0000 7.5488" Properties=species:S:1:pos:R:3 comment="LiMgCd2Hg2 | Alexandria via LeMat-Bulk | PBE | relaxed" formation_enthalpy_0k_ev_per_atom=-0.152 n_ef_per_ev_cell=2.73 sg="No. 11" magnetic_moment_mub_per_cell=0.000 pbc="T T T"
Li 1.3199 1.5028 0.1316
Li 2.3025 4.5085 7.4172
Mg 0.7984 1.5028 5.0058
Mg 2.8240 4.5085 2.5430
Cd -0.1807 3.0230 2.3237
Cd -0.1807 5.9939 2.3237
Cd 3.8031 0.0174 5.2251
Cd 3.8031 2.9883 5.2251
Hg 1.5601 4.5085 0.0176
Hg 1.0223 4.5085 4.8538
Hg 2.6001 1.5028 2.6950
Hg 2.0623 1.5028 7.5312



[3]
5
Lattice="-2.0046 2.0046 5.3880 2.0046 -2.0046 5.3880 2.0046 2.0046 -5.3880" Properties=species:S:1:pos:R:3 comment="YCr2As2 | Alexandria via LeMat-Bulk | PBE | relaxed" polymorph_energy_mev_per_atom=0 formation_enthalpy_0k_ev_per_atom=-0.490 n_ef_per_ev_cell=3.71 sg="No. 139" magnetic_moment_mub_per_cell=3.367 pbc="T T T"
Y 0.0000 0.0000 0.0000
Cr 2.0046 0.0000 2.6940
Cr 0.0000 2.0046 2.6940
As 0.0000 0.0000 4.0304
As 0.0000 0.0000 6.7456



[4]
5
Lattice="4.8956 0.0000 0.0000 0.0000 4.8956 0.0000 0.0000 0.0000 5.0659" Properties=species:S:1:pos:R:3 comment="LiSb2TeP | Alexandria via LeMat-Bulk | PBE | relaxed" polymorph_energy_mev_per_atom=290 n_ef_per_ev_cell=3.59 sg="No. 123" magnetic_moment_mub_per_cell=0.000 pbc="T T T"
Li 0.0000 0.0000 0.0000
Sb 0.0000 2.4478 0.0000
Sb 2.4478 0.0000 0.0000
Te 0.0000 0.0000 2.5329
P 2.4478 2.4478 2.5329



[5]
3
Lattice="-1.7447 1.7447 5.6623 1.7447 -1.7447 5.6623 1.7447 1.7447 -5.6623" Properties=species:S:1:pos:R:3 comment="TbPaRe | Alexandria via LeMat-Bulk | PBE | relaxed" polymorph_energy_mev_per_atom=0 formation_enthalpy_0k_ev_per_atom=0.019 n_ef_per_ev_cell=3.02 sg="No. 107" magnetic_moment_mub_per_cell=0.000 pbc="T T T"
Tb 0.0000 0.0000 0.0000
Pa 0.0000 0.0000 7.9341
Re 0.0000 0.0000 3.6372



[6]
3
Lattice="0.0000 2.9612 2.9612 2.9612 0.0000 2.9612 2.9612 2.9612 0.0000" Properties=species:S:1:pos:R:3 comment="Re2Rh | Alexandria via LeMat-Bulk | PBE | relaxed" polymorph_energy_mev_per_atom=1157 formation_enthalpy_0k_ev_per_atom=1.023 n_ef_per_ev_cell=3.21 sg="No. 225" magnetic_moment_mub_per_cell=0.000 pbc="T T T"
Re 1.4806 1.4806 1.4806
Re 4.4418 4.4418 4.4418
Rh 0.0000 0.0000 0.0000



[7]
12
Lattice="0.0000 4.3869 7.5974 3.6321 0.0000 7.5974 3.6321 4.3869 0.0000" Properties=species:S:1:pos:R:3 comment="Y2Zn3Ge | Alexandria via LeMat-Bulk | PBE | relaxed" polymorph_energy_mev_per_atom=0 formation_enthalpy_0k_ev_per_atom=-0.541 n_ef_per_ev_cell=7.64 sg="No. 69" magnetic_moment_mub_per_cell=0.000 pbc="T T T"
Y 5.4649 4.3869 7.5974
Y 1.8160 2.1935 3.7987
Y 5.4481 6.5804 11.3961
Y 1.7993 4.3869 7.5974
Zn 3.6321 4.3869 2.5128
Zn 3.6321 2.1890 6.3484
Zn 3.6321 2.1890 8.8464
Zn 3.6321 6.5849 6.3484
Zn 3.6321 6.5849 8.8464
Zn 3.6321 4.3869 12.6819
Ge 3.6321 4.3869 5.0679
Ge 3.6321 4.3869 10.1269



[8]
4
Lattice="0.0000 4.1359 4.1359 4.1359 0.0000 4.1359 4.1359 4.1359 0.0000" Properties=species:S:1:pos:R:3 comment="SrCaHoMg | Alexandria via LeMat-Bulk | PBE | relaxed" formation_enthalpy_0k_ev_per_atom=0.133 n_ef_per_ev_cell=6.23 sg="No. 216" magnetic_moment_mub_per_cell=0.000 pbc="T T T"
Sr 0.0000 0.0000 0.0000
Ca 6.2038 6.2038 6.2038
Ho 4.1359 4.1359 4.1359
Mg 2.0679 2.0679 2.0679



[9]
12
Lattice="5.0741 -7.5656 0.0000 5.0741 7.5656 0.0000 -2.3650 0.0000 4.2971" Properties=species:S:1:pos:R:3 comment="Tb5Tl6Hg | Alexandria via LeMat-Bulk | PBE | relaxed" formation_enthalpy_0k_ev_per_atom=-0.310 n_ef_per_ev_cell=8.82 sg="No. 12" magnetic_moment_mub_per_cell=0.000 pbc="T T T"
Tb 0.0000 0.0000 0.0000
Tb 3.8916 4.8877 2.1485
Tb 5.0741 2.0922 0.0000
Tb 5.0741 -2.0922 0.0000
Tb 3.8916 -4.8877 2.1485
Tl 1.8882 2.6064 1.0405
Tl 0.6160 0.0000 3.1408
Tl 1.8882 -2.6064 1.0405
Tl 5.8950 2.6064 3.2566
Tl 7.1673 0.0000 1.1563
Tl 5.8950 -2.6064 3.2566
Hg 3.8916 0.0000 2.1485



[10]
12
Lattice="3.7568 -6.5162 0.0000 3.7568 6.5162 0.0000 -2.4810 0.0000 8.0024" Properties=species:S:1:pos:R:3 comment="Ac6Os2PdCl3 | Alexandria via LeMat-Bulk | PBE | relaxed" dft_energy_ha_per_atom=-0.21381 n_ef_per_ev_cell=3.28 sg="No. 12" magnetic_moment_mub_per_cell=0.000 pbc="T T T"
Ac -0.0311 2.2664 6.3680
Ac 1.1388 0.0000 1.6331
Ac -0.0311 -2.2664 6.3680
Ac 5.0637 2.2664 1.6344
Ac 3.8938 0.0000 6.3692
Ac 5.0637 -2.2664 1.6344
Os 3.7568 4.3503 0.0000
Os 3.7568 -4.3503 0.0000
Pd 3.7568 0.0000 0.0000
Cl -1.2405 0.0000 4.0012
Cl 2.5163 2.2778 4.0012
Cl 2.5163 -2.2778 4.0012



[11]
10
Lattice="6.5737 -1.8640 0.0000 6.5737 1.8640 0.0000 -5.3391 0.0000 7.7867" Properties=species:S:1:pos:R:3 comment="Li3Np2S5 | Alexandria via LeMat-Bulk | PBE | relaxed" dft_energy_ha_per_atom=-0.24157 n_ef_per_ev_cell=17.93 sg="No. 12" magnetic_moment_mub_per_cell=7.000 pbc="T T T"
Li 0.0000 0.0000 0.0000
Li 1.6043 0.0000 4.8231
Li 6.2040 0.0000 2.9636
Np -1.7872 0.0000 5.9104
Np 9.5955 0.0000 1.8764
S 1.0249 0.0000 2.2725
S 4.6384 0.0000 0.6468
S 3.9041 0.0000 3.8934
S 3.1699 0.0000 7.1399
S 6.7833 0.0000 5.5142



[12]
8
Lattice="-3.6148 3.6148 2.8741 3.6148 -3.6148 2.8741 3.6148 3.6148 -2.8741" Properties=species:S:1:pos:R:3 comment="InGePd2 | Alexandria via LeMat-Bulk | PBE | relaxed" formation_enthalpy_0k_ev_per_atom=-0.191 n_ef_per_ev_cell=4.07 sg="No. 122" magnetic_moment_mub_per_cell=0.000 pbc="T T T"
In 0.0000 0.0000 0.0000
In 0.0000 3.6148 1.4371
Ge 3.6148 0.0000 1.4371
Ge 0.0000 0.0000 2.8741
Pd 1.8074 -1.5171 2.1556
Pd 2.0977 1.8074 0.7185
Pd 1.8074 5.1318 -0.7185
Pd 1.5171 1.8074 3.5926



[13]
4
Lattice="-2.0386 2.0386 4.8637 2.0386 -2.0386 4.8637 2.0386 2.0386 -4.8637" Properties=species:S:1:pos:R:3 comment="HoGe3 | Alexandria via LeMat-Bulk | PBE | relaxed" formation_enthalpy_0k_ev_per_atom=-0.337 n_ef_per_ev_cell=1.90 sg="No. 139" magnetic_moment_mub_per_cell=0.000 pbc="T T T"
Ho 0.0000 0.0000 0.0000
Ge 2.0386 0.0000 2.4318
Ge 0.0000 0.0000 4.8637
Ge 0.0000 2.0386 2.4318



[14]
5
Lattice="4.4223 0.0000 0.0000 0.0000 4.4223 0.0000 0.0000 0.0000 4.6003" Properties=species:S:1:pos:R:3 comment="V2CoBTe | Alexandria via LeMat-Bulk | PBE | relaxed" dft_energy_ha_per_atom=-0.20475 n_ef_per_ev_cell=7.08 sg="No. 123" magnetic_moment_mub_per_cell=3.422 pbc="T T T"
V 0.0000 2.2112 0.0000
V 2.2112 0.0000 0.0000
Co 0.0000 0.0000 0.0000
B 2.2112 2.2112 2.3002
Te 0.0000 0.0000 2.3002



[15]
12
Lattice="8.6934 0.0000 0.0000 0.0000 2.7355 4.7527 0.0000 -2.7355 4.7527" Properties=species:S:1:pos:R:3 comment="SmAlFe | Alexandria via LeMat-Bulk | PBE | relaxed" formation_enthalpy_0k_ev_per_atom=-0.223 n_ef_per_ev_cell=10.44 sg="No. 38" magnetic_moment_mub_per_cell=6.561 pbc="T T T"
Sm 1.6110 0.0000 0.0000
Sm 2.6049 0.0000 6.3783
Sm 6.0885 0.0000 6.3783
Sm 7.0824 0.0000 0.0000
Al 0.0000 0.0000 4.6819
Al 4.3467 0.0000 1.6216
Al 4.3467 -1.3282 3.9479
Al 4.3467 1.3282 3.9479
Fe 0.0000 -1.3049 2.4167
Fe 0.0000 1.3049 2.4167
Fe 2.0763 0.0000 3.1033
Fe 6.6171 0.0000 3.1033



[16]
4
Lattice="1.6236 0.9374 8.2649 -1.6236 0.9374 8.2649 0.0000 -1.8747 8.2649" Properties=species:S:1:pos:R:3 comment="Sb2MoRh | Alexandria via LeMat-Bulk | PBE | relaxed" dft_energy_ha_per_atom=-0.23896 n_ef_per_ev_cell=4.91 sg="No. 166" magnetic_moment_mub_per_cell=0.003 pbc="T T T"
Sb 0.0000 0.0000 6.1718
Sb 0.0000 0.0000 18.6228
Mo 0.0000 0.0000 0.0000
Rh 0.0000 0.0000 12.3973



[17]
8
Lattice="3.7937 0.0000 0.0000 0.0000 3.7937 0.0000 0.0000 0.0000 15.1355" Properties=species:S:1:pos:R:3 comment="Pm4Mg3Pd | Alexandria via LeMat-Bulk | PBE | relaxed" formation_enthalpy_0k_ev_per_atom=-0.269 n_ef_per_ev_cell=6.28 sg="No. 123" magnetic_moment_mub_per_cell=0.000 pbc="T T T"
Pm 0.0000 0.0000 1.6652
Pm 0.0000 0.0000 5.6035
Pm 0.0000 0.0000 9.5320
Pm 0.0000 0.0000 13.4703
Mg 1.8968 1.8968 3.6762
Mg 1.8968 1.8968 7.5677
Mg 1.8968 1.8968 11.4593
Pd 1.8968 1.8968 0.0000



[18]
7
Lattice="-2.7422 2.7422 6.5854 2.7422 -2.7422 6.5854 2.7422 2.7422 -6.5854" Properties=species:S:1:pos:R:3 comment="Li4Ga2I | Alexandria via LeMat-Bulk | PBE | relaxed" dft_energy_ha_per_atom=-0.08273 n_ef_per_ev_cell=5.60 sg="No. 139" magnetic_moment_mub_per_cell=0.000 pbc="T T T"
Li 2.7422 0.0000 0.0000
Li 0.0000 0.0000 2.7663
Li 0.0000 2.7422 0.0000
Li 0.0000 0.0000 10.4045
Ga 0.0000 0.0000 5.3523
Ga 0.0000 0.0000 7.8186
I 0.0000 0.0000 0.0000



[19]
4
Lattice="0.0000 3.6346 3.6346 3.6346 0.0000 3.6346 3.6346 3.6346 0.0000" Properties=species:S:1:pos:R:3 comment="CsLiHf2 | Alexandria via LeMat-Bulk | PBE | relaxed" polymorph_energy_mev_per_atom=252 formation_enthalpy_0k_ev_per_atom=1.387 n_ef_per_ev_cell=6.28 sg="No. 225" magnetic_moment_mub_per_cell=0.000 pbc="T T T"
Cs 0.0000 0.0000 0.0000
Li 3.6346 3.6346 3.6346
Hf 1.8173 1.8173 1.8173
Hf 5.4519 5.4519 5.4519



[20]
40
Lattice="8.7305 0.0000 0.0000 0.0000 8.7305 0.0000 0.0000 0.0000 8.7305" Properties=species:S:1:pos:R:3 comment="Lu3Co4Ge13 | Alexandria via LeMat-Bulk | PBE | relaxed" formation_enthalpy_0k_ev_per_atom=-0.393 n_ef_per_ev_cell=16.40 sg="No. 223" magnetic_moment_mub_per_cell=0.001 pbc="T T T"
Lu 0.0000 2.1826 4.3652
Lu 0.0000 6.5479 4.3652
Lu 2.1826 4.3652 0.0000
Lu 4.3652 0.0000 2.1826
Lu 4.3652 0.0000 6.5479
Lu 6.5479 4.3652 0.0000
Co 2.1826 2.1826 2.1826
Co 2.1826 2.1826 6.5479
Co 2.1826 6.5479 2.1826
Co 2.1826 6.5479 6.5479
Co 6.5479 2.1826 2.1826
Co 6.5479 2.1826 6.5479
Co 6.5479 6.5479 2.1826
Co 6.5479 6.5479 6.5479
Ge 0.0000 0.0000 0.0000
Ge 0.0000 2.6626 1.3356
Ge 0.0000 2.6626 7.3949
Ge 0.0000 6.0679 1.3356
Ge 0.0000 6.0679 7.3949
Ge 1.3356 0.0000 2.6626
Ge 1.3356 0.0000 6.0679
Ge 1.7027 4.3652 3.0296
Ge 1.7027 4.3652 5.7008
Ge 2.6626 1.3356 0.0000
Ge 2.6626 7.3949 0.0000
Ge 3.0296 1.7027 4.3652
Ge 3.0296 7.0278 4.3652
Ge 4.3652 3.0296 1.7027
Ge 4.3652 3.0296 7.0278
Ge 4.3652 4.3652 4.3652
Ge 4.3652 5.7008 1.7027
Ge 4.3652 5.7008 7.0278
Ge 5.7008 1.7027 4.3652
Ge 5.7008 7.0278 4.3652
Ge 6.0679 1.3356 0.0000
Ge 6.0679 7.3949 0.0000
Ge 7.0278 4.3652 3.0296
Ge 7.0278 4.3652 5.7008
Ge 7.3949 0.0000 2.6626
Ge 7.3949 0.0000 6.0679



[21]
12
Lattice="7.2699 -2.4359 0.0000 7.2699 2.4359 0.0000 -4.7991 0.0000 9.8095" Properties=species:S:1:pos:R:3 comment="Ce5Th5Sc2 | Alexandria via LeMat-Bulk | PBE | relaxed" formation_enthalpy_0k_ev_per_atom=0.053 n_ef_per_ev_cell=28.35 sg="No. 12" magnetic_moment_mub_per_cell=0.000 pbc="T T T"
Ce 0.0000 0.0000 0.0000
Ce -2.3428 0.0000 7.3396
Ce 0.0693 0.0000 4.9117
Ce 9.6715 0.0000 4.8978
Ce 12.0837 0.0000 2.4699
Th 2.3977 0.0000 2.4765
Th 4.9140 0.0000 0.0212
Th 4.8704 0.0000 4.9047
Th 4.8268 0.0000 9.7883
Th 7.3431 0.0000 7.3330
Sc 2.4759 0.0000 7.3336
Sc 7.2649 0.0000 2.4759



[22]
4
Lattice="0.0000 3.3424 3.3424 3.3424 0.0000 3.3424 3.3424 3.3424 0.0000" Properties=species:S:1:pos:R:3 comment="PmCuNiSb | Alexandria via LeMat-Bulk | PBE | relaxed" dft_energy_ha_per_atom=-0.18570 n_ef_per_ev_cell=2.29 sg="No. 216" magnetic_moment_mub_per_cell=0.000 pbc="T T T"
Pm 0.0000 0.0000 0.0000
Cu 1.6712 1.6712 1.6712
Ni 5.0136 5.0136 5.0136
Sb 3.3424 3.3424 3.3424



[23]
8
Lattice="6.2538 0.0000 0.0000 0.0000 6.2538 0.0000 0.0000 0.0000 6.2538" Properties=species:S:1:pos:R:3 comment="NbAg3Se4 | Alexandria via LeMat-Bulk | PBE | relaxed" dft_energy_ha_per_atom=-0.16562 sg="No. 215" magnetic_moment_mub_per_cell=0.000 pbc="T T T"
Nb 0.0000 0.0000 0.0000
Ag 0.0000 0.0000 3.1269
Ag 0.0000 3.1269 0.0000
Ag 3.1269 0.0000 0.0000
Se 1.4432 1.4432 1.4432
Se 1.4432 4.8105 4.8105
Se 4.8105 1.4432 4.8105
Se 4.8105 4.8105 1.4432



[24]
5
Lattice="3.9852 0.0000 0.0000 0.0000 3.9852 0.0000 0.0000 0.0000 6.8902" Properties=species:S:1:pos:R:3 comment="CdAuSeN2 | Alexandria via LeMat-Bulk | PBE | relaxed" polymorph_energy_mev_per_atom=0 n_ef_per_ev_cell=2.49 sg="No. 123" magnetic_moment_mub_per_cell=3.411 pbc="T T T"
Cd 0.0000 0.0000 0.0000
Au 1.9926 1.9926 3.4451
Se 1.9926 1.9926 0.0000
N 0.0000 1.9926 3.4451
N 1.9926 0.0000 3.4451